This record from Alexandria describes Pm8Ho6Tm after structural relaxation. The functional is PBE.

## Properties
As for the density of states at the Fermi level: 22.6 states/eV per cell. As for the total magnetization: 0.00 Bohr magnetons per cell. As for the energy of formation: 0.1739 eV per atom. As for the energy above the lowest structure with this stoichiometry: 0 meV per atom.

Cell: 6.5431 9.3824 9.3824 Å, 120.00 90.00 90.00°
Last column: nearest neighbours and their distance in Å.
Sites, in units of the cell vectors:
Pm 0.8335 0.0357 0.2854  3 Pm 3.27-3.34, 4 Ho 3.29-3.57, 1 Tm 3.34
Pm 0.8335 0.7146 0.7502  3 Pm 3.27-3.34, 4 Ho 3.29-3.57, 1 Tm 3.34
Pm 0.8335 0.2498 0.9643  3 Pm 3.27-3.34, 4 Ho 3.29-3.57, 1 Tm 3.34
Pm 0.1665 0.9643 0.7146  3 Pm 3.27-3.34, 4 Ho 3.29-3.57, 1 Tm 3.34
Pm 0.1665 0.2854 0.2498  3 Pm 3.27-3.34, 4 Ho 3.29-3.57, 1 Tm 3.34
Pm 0.1665 0.7502 0.0357  3 Pm 3.27-3.34, 4 Ho 3.29-3.57, 1 Tm 3.34
Pm 0.8800 0.3333 0.6667  3 Pm 3.27
Pm 0.1200 0.6667 0.3333  3 Pm 3.27
Ho 0.6578 0.6562 0.0930  1 Ho 3.28, 4 Pm 3.29-3.57
Ho 0.6578 0.9070 0.5632  1 Ho 3.28, 4 Pm 3.29-3.57
Ho 0.6578 0.4368 0.3438  1 Ho 3.28, 4 Pm 3.29-3.57
Ho 0.3422 0.3438 0.9070  1 Ho 3.28, 4 Pm 3.29-3.57
Ho 0.3422 0.0930 0.4368  1 Ho 3.28, 4 Pm 3.29-3.57
Ho 0.3422 0.5632 0.6562  1 Ho 3.28, 4 Pm 3.29-3.57
Tm 0.5000 0.0000 0.0000  6 Pm 3.34



This record from Alexandria describes Sm4AlSn after structural relaxation. The functional is PBE.

## Properties
As for the density of states at the Fermi level: 14.8 states/eV per cell. As for the total magnetization: 0.00 Bohr magnetons per cell. As for the energy of formation: -0.2019 eV per atom.

Cell: 5.6681 6.4402 10.9984 Å, 90.00 104.93 90.00°
Last column: nearest neighbours and their distance in Å.
Sites, in units of the cell vectors:
Sm 0.8861 0.3222 0.7721  2 Al 2.93
Sm 0.1139 0.8222 0.2279  2 Al 2.93
Sm 0.4393 0.8223 0.8786  3 Al 2.96-3.24
Sm 0.5607 0.3223 0.1214  3 Al 2.96-3.24
Sm 0.7046 0.5699 0.4092  1 Al 3.13, 5 Sm 3.19-3.45, 3 Sn 3.40-3.42
Sm 0.2954 0.0699 0.5908  1 Al 3.13, 5 Sm 3.19-3.45, 3 Sn 3.40-3.42
Sm 0.7046 0.0746 0.4093  1 Al 3.13, 5 Sm 3.19-3.45, 3 Sn 3.40-3.42
Sm 0.2954 0.5746 0.5907  1 Al 3.13, 5 Sm 3.19-3.45, 3 Sn 3.40-3.42
Al 0.5788 0.8223 0.1576  7 Sm 2.93-3.24
Al 0.4212 0.3223 0.8424  7 Sm 2.93-3.24
Sn 0.8453 0.8221 0.6906  10 Sm 3.33-3.47
Sn 0.1547 0.3221 0.3094  10 Sm 3.33-3.47



This record from Alexandria describes KLiSi2 after structural relaxation. The functional is PBE.

## Properties
As for the density of states at the Fermi level: 1.2 states/eV per cell. As for the total magnetization: 0.00 Bohr magnetons per cell. As for the energy above the lowest structure with this stoichiometry: 383 meV per atom. The value obtained for the formation energy (no corrections) is 0.396 eV per atom.

Cell: 10.1813 10.1813 10.1813 Å, 16.77 16.77 16.77°
Last column: nearest neighbours and their distance in Å.
Sites, in units of the cell vectors:
K 0.2500 0.2500 0.2500  6 K 2.97
Li 0.7500 0.7500 0.7500  6 Si 2.76, 6 Li 2.97
Si 0.0114 0.0114 0.0114  3 Li 2.76, 6 Si 2.97
Si 0.4886 0.4886 0.4886  3 Li 2.76, 6 Si 2.97



This record from Alexandria describes Sr2Ru2Se after structural relaxation. The functional is PBE.

## Properties
As for the density of states at the Fermi level: 6.5 states/eV per cell. As for the total magnetization: 0.00 Bohr magnetons per cell. As for the energy above the lowest structure with this stoichiometry: 574 meV per atom. The value obtained for the formation energy (no corrections) is 0.183 eV per atom.

Cell: 5.9985 5.9985 5.6035 Å, 57.64 57.64 90.00°
Last column: nearest neighbours and their distance in Å.
Sites, in units of the cell vectors:
Ru 0.3415 0.3415 0.3170  1 Ru 2.32, 1 Se 2.50
Ru 0.6585 0.6585 0.6830  1 Ru 2.32, 1 Se 2.50
Se 0.0000 0.0000 0.0000  2 Ru 2.50
Sr 0.7500 0.2500 0.5000  4 Ru 3.07
Sr 0.2500 0.7500 0.5000  4 Ru 3.07



This record from Alexandria describes Zr2Pa3 after structural relaxation. The functional is PBE.

## Properties
As for the density of states at the Fermi level: 8.5 states/eV per cell. As for the total magnetization: 0.00 Bohr magnetons per cell. As for the energy of formation: 0.0618 eV per atom.

Cell: 4.0463 6.0465 5.6115 Å, 78.37 68.87 70.45°
Last column: nearest neighbours and their distance in Å.
Sites, in units of the cell vectors:
Zr 0.4002 0.8924 0.3073  7 Pa 3.11-3.24, 3 Zr 3.18-3.33
Zr 0.5998 0.1076 0.6928  7 Pa 3.11-3.24, 3 Zr 3.18-3.33
Pa 0.7948 0.3105 0.0998  5 Pa 3.07-3.22, 5 Zr 3.21-3.24
Pa 0.0000 0.5000 0.5000  4 Zr 3.11, 6 Pa 3.17-3.22
Pa 0.2052 0.6895 0.9002  5 Pa 3.07-3.22, 5 Zr 3.21-3.24



This record from Alexandria describes Rb3Nd2ZrS6 after structural relaxation. The functional is PBE.

## Properties
As for the density of states at the Fermi level: 4.5 states/eV per cell. As for the total magnetization: 0.00 Bohr magnetons per cell. The value obtained for the formation energy (no corrections) is -1.669 eV per atom.

Cell: 7.0611 7.0611 8.0806 Å, 98.40 98.40 120.00°
Last column: nearest neighbours and their distance in Å.
Sites, in units of the cell vectors:
Rb 0.1702 0.8298 0.5000  6 S 3.28-3.41
Rb 0.8298 0.1702 0.5000  6 S 3.28-3.41
Rb 0.5000 0.5000 0.5000  6 S 3.28-3.44
Nd 0.3336 0.6664 0.0000  6 S 2.86-2.87
Nd 0.6664 0.3336 0.0000  6 S 2.86-2.87
Zr 0.0000 0.0000 0.0000  6 S 2.66-2.67
S 0.9349 0.6236 0.8050  1 Zr 2.66, 2 Nd 2.86-2.87
S 0.7545 0.7545 0.1961  1 Zr 2.67, 2 Nd 2.87
S 0.0651 0.3764 0.1950  1 Zr 2.66, 2 Nd 2.86-2.87
S 0.6236 0.9349 0.8050  1 Zr 2.66, 2 Nd 2.86-2.87
S 0.2455 0.2455 0.8039  1 Zr 2.67, 2 Nd 2.87
S 0.3764 0.0651 0.1950  1 Zr 2.66, 2 Nd 2.86-2.87



This record from Alexandria describes Mg6TlCd after structural relaxation. The functional is PBE.

## Properties
As for the density of states at the Fermi level: 3.4 states/eV per cell. As for the total magnetization: 0.00 Bohr magnetons per cell. As for the energy of formation: -0.0469 eV per atom. As for the energy above the lowest structure with this stoichiometry: 8 meV per atom.

Cell: 5.1852 6.3201 6.3201 Å, 119.52 90.00 90.00°
Last column: nearest neighbours and their distance in Å.
Sites, in units of the cell vectors:
Mg 0.0000 0.0858 0.4176  8 Mg 3.15-3.20, 2 Tl 3.16, 2 Cd 3.17
Mg 0.0000 0.5824 0.9142  8 Mg 3.15-3.20, 2 Tl 3.16, 2 Cd 3.17
Mg 0.0000 0.5833 0.4167  8 Mg 3.15-3.17, 2 Cd 3.17, 2 Tl 3.18
Mg 0.5000 0.4189 0.0852  8 Mg 3.13-3.21, 2 Cd 3.15-3.17, 2 Tl 3.18
Mg 0.5000 0.9148 0.5811  8 Mg 3.13-3.21, 2 Cd 3.15-3.17, 2 Tl 3.18
Mg 0.5000 0.9144 0.0856  8 Mg 3.13-3.19, 2 Tl 3.18, 2 Cd 3.18
Tl 0.0000 0.0833 0.9167  12 Mg 3.16-3.18
Cd 0.5000 0.4168 0.5832  12 Mg 3.15-3.18



This record from Alexandria describes MgCdBi2 after structural relaxation. The functional is PBE.

## Properties
As for the density of states at the Fermi level: 0.9 states/eV per cell. As for the total magnetization: 0.00 Bohr magnetons per cell. As for the energy of formation: -0.0005 eV per atom. As for the energy above the lowest structure with this stoichiometry: 9 meV per atom.

Cell: 3.4069 3.4069 11.8504 Å, 81.74 81.74 60.00°
Last column: nearest neighbours and their distance in Å.
Sites, in units of the cell vectors:
Mg 0.5000 0.5000 0.5000  6 Bi 3.20, 6 Mg 3.41
Bi 0.0946 0.0946 0.7163  3 Mg 3.20, 1 Cd 3.32, 6 Bi 3.41
Bi 0.9054 0.9054 0.2837  3 Mg 3.20, 1 Cd 3.32, 6 Bi 3.41
Cd 0.0000 0.0000 0.0000  2 Bi 3.32, 6 Cd 3.41



This record from Alexandria describes SrYCu2Si after structural relaxation. The functional is PBE.

## Properties
As for the density of states at the Fermi level: 5.7 states/eV per cell. As for the total magnetization: 0.00 Bohr magnetons per cell. The value obtained for the formation energy (no corrections) is 0.444 eV per atom.

Cell: 5.1977 5.3333 5.1977 Å, 90.00 90.00 90.00°
Last column: nearest neighbours and their distance in Å.
Sites, in units of the cell vectors:
Y 0.0000 0.0000 0.0000  4 Cu 2.60, 2 Si 2.67
Sr 0.5000 0.5000 0.5000  4 Si 3.68, 8 Cu 3.72
Si 0.0000 0.5000 0.0000  2 Y 2.67
Cu 0.0000 0.0000 0.5000  2 Y 2.60
Cu 0.5000 0.0000 0.0000  2 Y 2.60



This record from Alexandria describes DyTm5Sc2In after structural relaxation. The functional is PBE.

## Properties
As for the density of states at the Fermi level: 27.3 states/eV per cell. As for the total magnetization: 0.00 Bohr magnetons per cell. As for the energy of formation: 0.0250 eV per atom.

Cell: 5.2181 10.0307 10.3474 Å, 90.00 90.00 105.08°
Last column: nearest neighbours and their distance in Å.
Sites, in units of the cell vectors:
Dy 0.7982 0.5965 0.5083  7 Tm 3.35-3.53, 2 In 3.35, 2 Sc 3.41
Dy 0.2018 0.4035 0.0083  7 Tm 3.35-3.53, 2 In 3.35, 2 Sc 3.41
Tm 0.3792 0.7583 0.0082  4 Sc 3.41, 1 Dy 3.44, 6 Tm 3.49-3.61
Tm 0.7091 0.4182 0.8055  1 In 3.07, 2 Tm 3.21, 3 Sc 3.29-3.39, 2 Dy 3.35
Tm 0.5000 0.0000 0.7582  2 In 3.15, 4 Sc 3.47, 2 Tm 3.49
Tm 0.2910 0.5820 0.7110  1 In 3.07, 2 Tm 3.21, 3 Sc 3.29-3.39, 2 Dy 3.35
Tm 0.9924 0.9847 0.5082  2 In 3.09, 2 Sc 3.25
Tm 0.6208 0.2417 0.5082  4 Sc 3.41, 1 Dy 3.44, 6 Tm 3.49-3.61
Tm 0.2909 0.5818 0.3055  1 In 3.07, 2 Tm 3.21, 3 Sc 3.29-3.39, 2 Dy 3.35
Tm 0.5000 0.0000 0.2582  2 In 3.15, 4 Sc 3.47, 2 Tm 3.49
Tm 0.7090 0.4180 0.2110  1 In 3.07, 2 Tm 3.21, 3 Sc 3.29-3.39, 2 Dy 3.35
Tm 0.0076 0.0153 0.0082  2 In 3.09, 2 Sc 3.25
Sc 0.8839 0.7677 0.7958  9 Tm 3.25-3.64, 1 Dy 3.41
Sc 0.1162 0.2324 0.7207  9 Tm 3.25-3.64, 1 Dy 3.41
Sc 0.1161 0.2323 0.2958  9 Tm 3.25-3.64, 1 Dy 3.41
Sc 0.8838 0.7676 0.2207  9 Tm 3.25-3.64, 1 Dy 3.41
In 0.5930 0.1860 0.0081  6 Tm 3.07-3.15, 2 Dy 3.35
In 0.4070 0.8140 0.5081  6 Tm 3.07-3.15, 2 Dy 3.35



Number 1: calculated volume 499 Å³/f.u.. Number 2: calculated volume 194 Å³/f.u.. Number 3: calculated volume 77 Å³/f.u.. Number 4: calculated volume 132 Å³/f.u.. Number 5: calculated volume 120 Å³/f.u.. Number 6: calculated volume 334 Å³/f.u.. Number 7: calculated volume 180 Å³/f.u.. Number 8: calculated volume 117 Å³/f.u.. Number 9: calculated volume 144 Å³/f.u.. Number 10: calculated volume 261 Å³/f.u..